# 1
Li2BiW | GGA-PBE | optimized geometry

a = 4.6567 Å, b = 4.6567 Å, c = 4.6567 Å
α = 60.00°, β = 60.00°, γ = 60.00°
With the nearest neighbours (Å) after each atom.
Element x y z (fractional)
Li 0.0000 0.0000 0.0000  4 W 2.85, 4 Li 2.85
Li 0.2500 0.2500 0.2500  4 Bi 2.85, 4 Li 2.85
Bi 0.5000 0.5000 0.5000  4 W 2.85, 4 Li 2.85
W 0.7500 0.7500 0.7500  4 Li 2.85, 4 Bi 2.85

Summary:
* ρ: 9.5 g/cm³
* raw total energy: -4.61 eV/atom
* magnetic moment: 1.04 μB/f.u.

=====

# 2
LiBiW2 | GGA-PBE | optimized geometry

a = 4.5951 Å, b = 4.5951 Å, c = 4.5951 Å
α = 60.00°, β = 60.00°, γ = 60.00°
With the nearest neighbours (Å) after each atom.
Element x y z (fractional)
Li 0.0000 0.0000 0.0000  4 W 2.81, 4 Bi 2.81
Bi 0.7500 0.7500 0.7500  4 W 2.81, 4 Li 2.81
W 0.2500 0.2500 0.2500  4 W 2.81, 4 Li 2.81
W 0.5000 0.5000 0.5000  4 W 2.81, 4 Bi 2.81

Summary:
* ρ: 14.1 g/cm³
* raw total energy: -7.38 eV/atom
* magnetic moment: 0.00 μB/f.u.

=====

# 3
Li2ZnBi | GGA-PBE | optimized geometry

a = 4.8221 Å, b = 4.8221 Å, c = 4.8221 Å
α = 60.00°, β = 60.00°, γ = 60.00°
With the nearest neighbours (Å) after each atom.
Element x y z (fractional)
Li 0.0000 0.0000 0.0000  4 Bi 2.95, 4 Li 2.95
Li 0.2500 0.2500 0.2500  4 Li 2.95, 4 Zn 2.95
Zn 0.5000 0.5000 0.5000  4 Bi 2.95, 4 Li 2.95
Bi 0.7500 0.7500 0.7500  4 Zn 2.95, 4 Li 2.95

Summary:
* ρ: 6.0 g/cm³
* raw total energy: -2.48 eV/atom

=====

# 4
LiZn2Bi | GGA-PBE | optimized geometry

a = 4.8203 Å, b = 4.8203 Å, c = 4.8203 Å
α = 60.00°, β = 60.00°, γ = 60.00°
With the nearest neighbours (Å) after each atom.
Element x y z (fractional)
Li 0.0000 0.0000 0.0000  4 Bi 2.95, 4 Zn 2.95
Zn 0.5000 0.5000 0.5000  4 Zn 2.95, 4 Bi 2.95
Zn 0.7500 0.7500 0.7500  4 Zn 2.95, 4 Li 2.95
Bi 0.2500 0.2500 0.2500  4 Zn 2.95, 4 Li 2.95

Summary:
* ρ: 7.3 g/cm³
* raw total energy: -2.16 eV/atom

=====

# 5
LiZrBi | GGA-PBE | optimized geometry

a = 4.5052 Å, b = 4.5052 Å, c = 4.5052 Å
α = 60.00°, β = 60.00°, γ = 60.00°
With the nearest neighbours (Å) after each atom.
Element x y z (fractional)
Li 0.0000 0.0000 0.0000  4 Zr 2.76, 4 Bi 2.76
Zr 0.2500 0.2500 0.2500  4 Li 2.76
Bi 0.7500 0.7500 0.7500  4 Li 2.76

Summary:
* ρ: 7.9 g/cm³
* raw total energy: -4.74 eV/atom
* magnetic moment: 0.00 μB/f.u.

=====

# 6
LiZr2Bi | GGA-PBE | optimized geometry

a = 5.0267 Å, b = 5.0267 Å, c = 5.0267 Å
α = 60.00°, β = 60.00°, γ = 60.00°
With the nearest neighbours (Å) after each atom.
Element x y z (fractional)
Li 0.0000 0.0000 0.0000  4 Zr 3.08, 4 Bi 3.08
Zr 0.2500 0.2500 0.2500  4 Zr 3.08, 4 Li 3.08
Zr 0.5000 0.5000 0.5000  4 Zr 3.08, 4 Bi 3.08
Bi 0.7500 0.7500 0.7500  4 Zr 3.08, 4 Li 3.08

Summary:
* ρ: 7.4 g/cm³
* raw total energy: -5.61 eV/atom
* magnetic moment: 1.71 μB/f.u.

=====

# 7
Li2ZrBi | GGA-PBE | optimized geometry

a = 4.9037 Å, b = 4.9037 Å, c = 4.9037 Å
α = 60.00°, β = 60.00°, γ = 60.00°
With the nearest neighbours (Å) after each atom.
Element x y z (fractional)
Li 0.0000 0.0000 0.0000  4 Zr 3.00, 4 Li 3.00
Li 0.2500 0.2500 0.2500  4 Bi 3.00, 4 Li 3.00
Zr 0.7500 0.7500 0.7500  4 Bi 3.00, 4 Li 3.00
Bi 0.5000 0.5000 0.5000  4 Zr 3.00, 4 Li 3.00

Summary:
* ρ: 6.3 g/cm³
* raw total energy: -4.13 eV/atom
* magnetic moment: 0.83 μB/f.u.

=====

# 8
LuBi2 | GGA-PBE | optimized geometry

a = 6.4430 Å, b = 6.4430 Å, c = 6.4430 Å
α = 60.00°, β = 60.00°, γ = 60.00°
With the nearest neighbours (Å) after each atom.
Element x y z (fractional)
Lu 0.1250 0.1250 0.1250  12 Bi 3.78, 4 Lu 3.95
Lu 0.8750 0.8750 0.8750  12 Bi 3.78, 4 Lu 3.95
Bi 0.0000 0.5000 0.5000  6 Bi 3.22
Bi 0.5000 0.0000 0.5000  6 Bi 3.22
Bi 0.5000 0.5000 0.0000  6 Bi 3.22
Bi 0.5000 0.5000 0.5000  6 Bi 3.22

Summary:
* ρ: 10.4 g/cm³
* raw total energy: -4.13 eV/atom
* magnetic moment: 0.00 μB/f.u.

=====

# 9
LuBi2 | GGA-PBE | optimized geometry

a = 9.4766 Å, b = 9.4766 Å, c = 9.4766 Å
α = 60.00°, β = 60.00°, γ = 60.00°
With the nearest neighbours (Å) after each atom.
Element x y z (fractional)
Lu 0.1250 0.1250 0.1250  4 Bi 2.90
Lu 0.8750 0.8750 0.8750  4 Bi 2.90
Bi 0.0000 0.0000 0.0000  2 Lu 2.90
Bi 0.0000 0.0000 0.5000  2 Lu 2.90
Bi 0.0000 0.5000 0.0000  2 Lu 2.90
Bi 0.5000 0.0000 0.0000  2 Lu 2.90

Summary:
* ρ: 3.3 g/cm³
* raw total energy: -3.50 eV/atom
* magnetic moment: 0.00 μB/f.u.

=====

# 10
LuBi2 | GGA-PBE | optimized geometry

a = 7.7035 Å, b = 7.7035 Å, c = 7.7035 Å
α = 153.62°, β = 153.62°, γ = 37.66°
With the nearest neighbours (Å) after each atom.
Element x y z (fractional)
Lu 0.0000 0.0000 0.0000  8 Bi 3.28, 4 Lu 3.52
Bi 0.3529 0.3529 0.0000  4 Lu 3.28, 4 Bi 3.52
Bi 0.6471 0.6471 0.0000  4 Lu 3.28, 4 Bi 3.52

Summary:
* ρ: 10.9 g/cm³
* raw total energy: -4.52 eV/atom
* magnetic moment: 0.00 μB/f.u.

=====

# 11
LuBi2 | GGA-PBE | optimized geometry

a = 6.9178 Å, b = 8.0318 Å, c = 3.5802 Å
α = 90.00°, β = 90.00°, γ = 90.00°
With the nearest neighbours (Å) after each atom.
Element x y z (fractional)
Lu 0.0000 0.0000 0.0000  6 Bi 3.12-3.17
Lu 0.5000 0.5000 0.5000  6 Bi 3.12-3.17
Bi 0.1560 0.3640 0.0000  1 Bi 3.07, 3 Lu 3.12-3.17
Bi 0.3440 0.8640 0.5000  1 Bi 3.07, 3 Lu 3.12-3.17
Bi 0.6560 0.1360 0.5000  1 Bi 3.07, 3 Lu 3.12-3.17
Bi 0.8440 0.6360 0.0000  1 Bi 3.07, 3 Lu 3.12-3.17

Summary:
* ρ: 9.9 g/cm³
* raw total energy: -4.45 eV/atom
* magnetic moment: 0.00 μB/f.u.

=====

# 12
LuMg2Bi | GGA-PBE | optimized geometry

a = 5.2940 Å, b = 5.2940 Å, c = 5.2940 Å
α = 60.00°, β = 60.00°, γ = 60.00°
With the nearest neighbours (Å) after each atom.
Element x y z (fractional)
Lu 0.0000 0.0000 0.0000  4 Bi 3.24, 4 Mg 3.24
Mg 0.2500 0.2500 0.2500  4 Mg 3.24, 4 Lu 3.24
Mg 0.5000 0.5000 0.5000  4 Bi 3.24, 4 Mg 3.24
Bi 0.7500 0.7500 0.7500  4 Mg 3.24, 4 Lu 3.24

Summary:
* ρ: 6.8 g/cm³
* raw total energy: -3.00 eV/atom
* magnetic moment: 0.00 μB/f.u.